Record 1
First-principles (GGA-PBE) data for an optimized crystal structure of Hg2Mo4Au, as listed in Alexandria via LeMat-Bulk.

Unit cell a=4.9413 b=4.9413 c=7.8551 alpha=71.67 beta=71.67 gamma=90.00
Positions (direct):
Hg 0.3822 0.3822 0.2356
Au 0.0000 0.0000 0.0000
Mo 0.8142 0.8142 0.3717
Hg 0.6178 0.6178 0.7644
Mo 0.1858 0.1858 0.6283
Mo 0.5000 0.0000 0.0000
Mo 0.0000 0.5000 0.0000

Values from the calculation:
Its density of states at the Fermi level is 9.87 states/eV/f.u. The formation enthalpy at 0 K is 1929 meV per atom.

=====

Record 2
First-principles (GGA-PBE) data for an optimized crystal structure of HgMo2Au, as listed in Alexandria via LeMat-Bulk.

Unit cell a=5.2471 b=5.2471 c=2.7949 alpha=90.07 beta=90.07 gamma=116.10
Positions (direct):
Hg 0.0000 0.5000 0.5000
Mo 0.5000 0.5000 0.0000
Mo 0.0000 0.0000 0.0000
Au 0.5000 0.0000 0.5000

Values from the calculation:
Its density of states at the Fermi level is 2.01 states/eV/f.u. The formation enthalpy at 0 K is 453 meV per atom.

=====

Record 3
First-principles (GGA-PBE) data for an optimized crystal structure of HgMo3Au, as listed in Alexandria via LeMat-Bulk.

Unit cell a=4.8696 b=4.8696 c=4.8696 alpha=90.00 beta=90.00 gamma=90.00
Positions (direct):
Au 0.0000 0.0000 0.0000
Hg 0.5000 0.5000 0.5000
Mo 0.0000 0.5000 0.0000
Mo 0.5000 0.0000 0.0000
Mo 0.0000 0.0000 0.5000

Values from the calculation:
Its density of states at the Fermi level is 5.32 states/eV/f.u. Its energy above the most stable polymorph in this dataset is 0 meV/atom. The formation enthalpy at 0 K is 2164 meV per atom.

=====

Record 4
First-principles (GGA-PBE) data for an optimized crystal structure of HgMo2Au, as listed in Alexandria via LeMat-Bulk.

Unit cell a=5.0021 b=5.0021 c=5.2741 alpha=84.33 beta=84.33 gamma=32.09
Positions (direct):
Hg 0.7509 0.7509 0.7429
Au 0.5030 0.5030 0.5016
Mo 0.0020 0.0020 0.0216
Mo 0.2441 0.2441 0.2339

Values from the calculation:
Its density of states at the Fermi level is 2.32 states/eV/f.u. The formation enthalpy at 0 K is 437 meV per atom.

=====

Record 5
First-principles (GGA-PBE) data for an optimized crystal structure of HgMo2Au, as listed in Alexandria via LeMat-Bulk.

Unit cell a=5.2347 b=5.2347 c=5.2347 alpha=135.69 beta=135.66 gamma=64.48
Positions (direct):
Mo 0.0000 0.0000 0.0000
Au 0.7500 0.2500 0.5000
Mo 0.5000 0.5000 0.0000
Hg 0.2500 0.7500 0.5000

Values from the calculation:
Its density of states at the Fermi level is 3.30 states/eV/f.u. The formation enthalpy at 0 K is 439 meV per atom.

=====

Record 6
First-principles (GGA-PBE) data for an optimized crystal structure of HgMoAu, as listed in Alexandria via LeMat-Bulk.

Unit cell a=4.4954 b=4.4954 c=4.4954 alpha=60.00 beta=60.00 gamma=60.00
Positions (direct):
Mo 0.0000 0.0000 0.0000
Hg 0.7500 0.7500 0.7500
Au 0.5000 0.5000 0.5000

Values from the calculation:
Its density of states at the Fermi level is 5.94 states/eV/f.u. Its energy above the most stable polymorph in this dataset is 691 meV/atom. The formation enthalpy at 0 K is 1074 meV per atom.

=====

Record 7
First-principles (GGA-PBE) data for an optimized crystal structure of HgMo4Au, as listed in Alexandria via LeMat-Bulk.

Unit cell a=5.2983 b=5.2983 c=5.2983 alpha=60.00 beta=60.00 gamma=60.00
Positions (direct):
Hg 0.0000 0.0000 0.0000
Au 0.7500 0.7500 0.7500
Mo 0.3755 0.3755 0.8736
Mo 0.3755 0.8736 0.3755
Mo 0.8736 0.3755 0.3755
Mo 0.3755 0.3755 0.3755

Values from the calculation:
Its density of states at the Fermi level is 6.78 states/eV/f.u. The formation enthalpy at 0 K is 555 meV per atom.

=====

Record 8
First-principles (GGA-PBE) data for an optimized crystal structure of HgMoAu4, as listed in Alexandria via LeMat-Bulk.

Unit cell a=5.5182 b=5.5182 c=5.5182 alpha=60.00 beta=60.00 gamma=60.00
Positions (direct):
Au 0.3749 0.8754 0.3749
Au 0.3749 0.3749 0.8754
Mo 0.0000 0.0000 0.0000
Au 0.3749 0.3749 0.3749
Hg 0.7500 0.7500 0.7500
Au 0.8754 0.3749 0.3749

Values from the calculation:
Its density of states at the Fermi level is 4.14 states/eV/f.u. The formation enthalpy at 0 K is 481 meV per atom.

=====

Record 9
First-principles (GGA-PBE) data for an optimized crystal structure of HgMo2Au, as listed in Alexandria via LeMat-Bulk.

Unit cell a=5.9141 b=5.9141 c=7.2530 alpha=65.94 beta=65.94 gamma=90.00
Positions (direct):
Mo 0.3750 0.3919 0.7500
Hg 0.7500 0.2500 0.5000
Mo 0.1419 0.6250 0.2500
Hg 0.0000 0.0000 0.0000
Mo 0.6081 0.1250 0.2500
Mo 0.8750 0.8581 0.7500
Au 0.5000 0.5000 0.0000
Au 0.2500 0.7500 0.5000

Values from the calculation:
Its density of states at the Fermi level is 2.42 states/eV/f.u. The formation enthalpy at 0 K is 1928 meV per atom.

=====

Record 10
First-principles (GGA-PBE) data for an optimized crystal structure of HgMo2Au, as listed in Alexandria via LeMat-Bulk.

Unit cell a=10.0898 b=10.0898 c=10.0898 alpha=16.33 beta=16.33 gamma=16.33
Positions (direct):
Hg 0.7490 0.7490 0.7490
Mo 0.9965 0.9965 0.9965
Mo 0.2507 0.2507 0.2507
Au 0.5039 0.5039 0.5039

Values from the calculation:
Its density of states at the Fermi level is 2.97 states/eV/f.u. The formation enthalpy at 0 K is 402 meV per atom.

=====

Record 11
First-principles (GGA-PBE) data for an optimized crystal structure of HgMoAu, as listed in Alexandria via LeMat-Bulk.

Unit cell a=6.8636 b=6.8636 c=2.8839 alpha=77.87 beta=77.87 gamma=24.25
Positions (direct):
Hg 0.3291 0.3290 0.6709
Au 0.0098 0.0098 0.9902
Mo 0.6611 0.6612 0.3389

Values from the calculation:
Its density of states at the Fermi level is 1.93 states/eV/f.u. Its energy above the most stable polymorph in this dataset is 0 meV/atom. The formation enthalpy at 0 K is 383 meV per atom.

=====

Record 12
First-principles (GGA-PBE) data for an optimized crystal structure of Hg3MoAu, as listed in Alexandria via LeMat-Bulk.

Unit cell a=5.4560 b=5.4560 c=5.4560 alpha=90.00 beta=90.00 gamma=90.00
Positions (direct):
Hg 0.0000 0.5000 0.0000
Hg 0.5000 0.0000 0.0000
Mo 0.0000 0.0000 0.0000
Hg 0.0000 0.0000 0.5000
Au 0.5000 0.5000 0.5000

Values from the calculation:
Its density of states at the Fermi level is 3.49 states/eV/f.u. Its energy above the most stable polymorph in this dataset is 5 meV/atom. The formation enthalpy at 0 K is 1040 meV per atom.